Below is a relaxed Na6ZnH4S4O18 crystal, with properties calculated at the GGA-PBE level.

For the volume, the calculation gives 392.6 Å³ per cell. The density of states at the Fermi level is 0.000 states/eV/f.u. Its uncorrected energy is -0.4041 Ry/atom.

Lattice parameters (Å, degrees): 6.1896 6.9209 10.1862 70.33 76.48 75.65
Fractional coordinates of all 33 atoms:
O  0.5338  0.8981  0.6482
O  0.3830  0.3325  0.1234
O  0.3186  0.9771  0.8633
O  0.1894  0.8809  0.1783
O  0.9911  0.8492  0.4203
O  0.3501  0.6154  0.3726
O  0.6170  0.6675  0.8766
O  0.0314  0.3042  0.9606
O  0.0015  0.5828  0.3118
O  0.2629  0.6796  0.8042
O  0.6499  0.3846  0.6274
O  0.7371  0.3204  0.1958
O  0.0089  0.1508  0.5797
O  0.9686  0.6958  0.0394
O  0.6814  0.0229  0.1367
O  0.8106  0.1191  0.8217
O  0.4662  0.1019  0.3518
O  0.9985  0.4172  0.6882
H  0.9139  0.3508  0.0351
H  0.9857  0.3750  0.8653
H  0.0143  0.6250  0.1347
H  0.0861  0.6492  0.9649
S  0.5649  0.1959  0.2025
S  0.4351  0.8041  0.7975
S  0.8675  0.2693  0.6770
S  0.1325  0.7307  0.3230
Zn  0.0000  0.0000  0.0000
Na  0.0511  0.2097  0.3301
Na  0.9489  0.7903  0.6699
Na  0.6152  0.7386  0.4591
Na  0.3848  0.2614  0.5409
Na  0.5693  0.7010  0.1084
Na  0.4307  0.2990  0.8916